(1)
Entry from the Alexandria database: an optimized crystal structure of Sr5Mg (PBE).

The structure belongs to space group P-6m2 (No. 187); the cell edges are 4.2206, 4.2206 and 19.4484 Å and the angles 90.00°, 90.00° and 120.00°. The asymmetric unit holds Sr at (0.0000, 0.0000, 0.0000), Sr at (0.0000, 0.0000, 0.3622), Sr at (0.6667, 0.3333, 0.1806) and Mg at (0.6667, 0.3333, 0.5000).

For the size of the total moment, the calculation gives 0.001 μB/cell. The calculation puts the density of states at the Fermi level at 6.3 states/eV per cell. The calculated volume comes out at 300.0 Å³ per cell. The distance to the lowest polymorph of the same formula comes out at 0.055 eV per atom. The formation energy comes out at 0.042 eV per atom.

---

(2)
Entry from the Alexandria database: an optimized crystal structure of CoHg2Cl (PBE).

The structure belongs to space group Pmmm (No. 47); the cell edges are 3.3954, 4.5672 and 5.6104 Å and the angles 90.00°, 90.00° and 90.00°. The asymmetric unit holds Co at (0.0000, 0.0000, 0.0000), Hg at (0.0000, 0.5000, 0.5000), Hg at (0.5000, 0.0000, 0.5000) and Cl at (0.5000, 0.5000, 0.0000).

For the size of the total moment, the calculation gives 1.997 μB/cell. The calculation puts the density of states at the Fermi level at 2.5 states/eV per cell. The value obtained for the formation energy from raw total energies is 0.431 eV per atom. The calculated volume comes out at 87.0 Å³ per cell. The distance to the lowest polymorph of the same formula comes out at 0.450 eV per atom.

---

(3)
Entry from the Alexandria database: an optimized crystal structure of SmIn2Au (PBE).

The structure belongs to space group P4/mmm (No. 123); the cell edges are 3.5159, 3.5159 and 7.7319 Å and the angles 90.00°, 90.00° and 90.00°. The asymmetric unit holds Sm at (0.0000, 0.0000, 0.0000), In at (0.5000, 0.5000, 0.2855) and Au at (0.0000, 0.0000, 0.5000).

For the size of the total moment, the calculation gives 0.001 μB/cell. The calculation puts the density of states at the Fermi level at 3.0 states/eV per cell. The calculated volume comes out at 95.6 Å³ per cell. The formation energy comes out at -0.346 eV per atom.

---

(4)
Entry from the Alexandria database: an optimized crystal structure of CdOs3 (PBE).

The structure belongs to space group P4/mmm (No. 123); the cell edges are 4.6984, 4.6984 and 2.8409 Å and the angles 90.00°, 90.00° and 90.00°. The asymmetric unit holds Cd at (0.0000, 0.0000, 0.0000), Os at (0.0000, 0.5000, 0.5000) and Os at (0.5000, 0.5000, 0.0000).

For the size of the total moment, the calculation gives 0.000 μB/cell. The calculation puts the density of states at the Fermi level at 3.7 states/eV per cell. The calculated volume comes out at 62.7 Å³ per cell. The distance to the lowest polymorph of the same formula comes out at 0.661 eV per atom. The formation energy comes out at 0.898 eV per atom.

---

(5)
Entry from the Alexandria database: an optimized crystal structure of Al3Zn5Hg12 (PBE).

The structure belongs to space group Ia-3d (No. 230); the cell edges are 16.1297, 16.1297 and 16.1297 Å and the angles 90.00°, 90.00° and 90.00°. The asymmetric unit holds Al at (0.0000, 0.2500, 0.1250), Zn at (0.0000, 0.0000, 0.0000), Zn at (0.0000, 0.2500, 0.3750) and Hg at (0.0248, 0.0821, 0.6485).

For the size of the total moment, the calculation gives 0.000 μB/cell. The calculation puts the density of states at the Fermi level at 63.0 states/eV per cell. The calculated volume comes out at 4196.4 Å³ per cell. The formation energy comes out at 0.193 eV per atom.

---

(6)
Entry from the Alexandria database: an optimized crystal structure of BaZrGeO5 (PBE).

The structure belongs to space group C2/c (No. 15); the cell edges are 7.2608, 9.7013 and 7.7507 Å and the angles 90.00°, 113.74° and 90.00°. The asymmetric unit holds Ba at (0.0000, 0.1685, 0.2500), Zr at (0.0000, 0.5000, 0.0000), Ge at (0.0000, 0.1864, 0.7500), O at (0.0000, 0.4354, 0.2500), O at (0.0901, 0.2921, 0.6107) and O at (0.1907, 0.0736, 0.9036).

For the size of the total moment, the calculation gives 0.000 μB/cell. The calculation puts the density of states at the Fermi level at 0.0 states/eV per cell. The value obtained for the formation energy from raw total energies is -2.671 eV per atom. The calculated volume comes out at 499.8 Å³ per cell.